Material: Nd4Cd2Hg3
Method: DFT, PBE
State: relaxed

Properties
energy of formation from the pure elements = -0.341 eV/atom
E = -2.76 eV/atom

```
Nd4Cd2Hg3
1.0
5.040 0.001 0.001
2.519 5.212 0.950
-0.002 1.309 9.632
Hg Cd Nd
3 2 4
Cartesian
2.518 2.079 4.471
5.038 4.443 6.112
0.000 0.000 0.000
2.519 3.172 7.547
5.038 3.350 3.036
5.037 4.800 9.317
2.518 5.185 4.155
2.519 1.722 1.266
5.038 1.337 6.429
```

***

Material: Nd3Cd2Hg2
Method: DFT, PBE
State: relaxed

Properties
energy of formation from the pure elements = -0.268 eV/atom
E = -2.66 eV/atom

```
Nd3Cd2Hg2
1.0
0.536 0.632 -5.318
-2.535 -4.252 2.137
-7.300 4.783 3.410
Cd Nd Hg
2 3 2
Cartesian
-7.839 1.559 3.137
-1.460 -0.395 -2.908
0.000 0.000 0.000
-3.670 -1.283 -0.520
-5.629 2.446 0.749
-2.633 1.661 -0.240
-6.666 -0.498 0.469
```

***

Material: Nd6Cd3Hg
Method: DFT, PBE
State: relaxed

Properties
energy of formation from the pure elements = -0.255 eV/atom
E = -3.42 eV/atom

```
Nd6Cd3Hg
1.0
-0.630 -5.422 -0.486
9.038 -0.813 -2.638
-0.685 -0.999 12.030
Nd Cd Hg
12 6 2
Cartesian
7.258 -2.343 1.287
3.948 -1.816 -0.303
1.824 -2.066 5.231
0.465 -4.891 7.619
7.674 -4.939 -1.181
2.357 -4.666 2.659
0.050 -2.295 10.087
0.948 -1.616 1.352
5.366 -2.568 6.247
5.900 -5.169 3.674
6.775 -5.618 7.554
3.775 -5.418 9.209
2.839 -2.458 8.297
3.340 -5.074 5.939
4.384 -2.160 2.967
1.600 -4.278 -0.690
4.885 -4.776 0.609
6.123 -2.956 9.596
-0.346 -4.515 4.478
8.069 -2.719 4.427
```

***

Material: Nd3Cd2Hg7
Method: DFT, PBE
State: relaxed

Properties
energy of formation from the pure elements = -0.258 eV/atom
E = -1.78 eV/atom

```
Nd3Cd2Hg7
1.0
-2.162 0.209 3.339
-4.196 -0.526 -2.683
3.066 -15.626 2.962
Cd Hg Nd
2 7 3
Cartesian
-0.396 -11.287 2.826
-2.896 -4.656 0.792
0.000 0.000 0.000
0.815 -13.513 1.373
-0.896 -2.807 1.971
-1.945 -2.639 -1.094
-2.396 -13.136 1.646
-0.555 -8.532 2.550
-2.737 -7.411 1.068
0.361 -5.941 0.605
-1.491 -10.211 -0.327
-3.179 -0.159 0.328
```

***

Material: Nd4Cd5Hg2
Method: DFT, PBE
State: relaxed

Properties
energy of formation from the pure elements = -0.306 eV/atom
E = -2.51 eV/atom

```
Nd4Cd5Hg2
1.0
3.517 0.000 0.000
0.000 8.055 -0.093
0.000 -0.896 10.537
Cd Nd Hg
5 4 2
Cartesian
0.000 2.942 7.429
0.000 1.466 1.693
0.000 5.694 8.751
0.000 4.028 -0.046
0.000 4.218 3.016
1.759 0.534 9.320
1.759 6.626 1.124
1.759 1.780 4.676
1.759 5.379 5.768
0.000 -0.065 6.735
0.000 7.225 3.710
```

***

Material: NdCd2Hg
Method: DFT, PBE
State: relaxed

Properties
energy of formation from the pure elements = -0.267 eV/atom
E = -1.99 eV/atom
offset from the most stable computed form = 85 meV/atom

```
NdCd2Hg
1.0
-2.367 0.574 4.568
2.418 -1.390 4.361
1.629 3.620 3.323
Hg Cd Nd
1 2 1
Cartesian
0.840 1.402 6.126
0.420 0.701 3.063
1.261 2.103 9.188
0.000 0.000 0.000
```

***

Material: Nd3Cd2Hg
Method: DFT, PBE
State: relaxed

Properties
energy of formation from the pure elements = -0.369 eV/atom
E = -3.11 eV/atom

```
Nd3Cd2Hg
1.0
-0.054 3.772 -0.831
-2.939 -1.022 -4.447
-5.388 1.368 6.559
Cd Nd Hg
2 3 1
Cartesian
-3.817 -0.218 -0.739
-4.509 0.563 2.851
-6.104 1.951 0.274
-1.497 1.375 -2.639
-2.277 2.167 1.007
0.000 0.000 0.000
```

***

Material: Nd12Cd3Hg
Method: DFT, PBE
State: relaxed

Properties
energy of formation from the pure elements = -0.129 eV/atom
E = -3.90 eV/atom

```
Nd12Cd3Hg
1.0
-2.281 1.398 -4.203
3.723 -1.957 -2.671
-9.571 -17.401 -0.592
Nd Cd Hg
12 3 1
Cartesian
-6.526 -16.226 -1.854
-2.325 -1.454 -2.175
0.721 -0.280 -3.437
-1.723 -7.494 -1.557
-1.664 -4.615 -3.584
0.677 -3.132 -1.409
-6.466 -13.345 -3.881
-4.126 -11.864 -1.706
-9.528 -14.549 -2.620
-4.724 -5.817 -2.323
-4.065 -8.980 -3.733
-7.128 -10.187 -2.472
-4.786 -8.701 -0.296
-2.385 -4.335 -0.147
-7.187 -13.066 -0.444
0.000 0.000 0.000
```

***

Material: NdCd2Hg8
Method: DFT, PBE
State: relaxed

Properties
energy of formation from the pure elements = -0.122 eV/atom
E = -0.94 eV/atom
offset from the most stable computed form = 0 meV/atom

```
NdCd2Hg8
1.0
-1.865 4.351 -1.329
2.297 -1.018 -6.557
-6.597 -5.408 0.647
Hg Cd Nd
8 2 1
Cartesian
-1.737 0.009 -6.630
-1.441 -1.060 -1.448
-4.974 -3.189 -3.461
-4.428 -2.084 -0.609
-4.724 -1.015 -5.791
-6.920 -0.899 -2.328
0.755 -1.176 -4.911
-1.191 1.114 -3.778
-2.167 -2.219 -4.223
-3.998 0.143 -3.016
-0.933 2.175 -0.664
```

***

Material: Nd5CdHg2
Method: DFT, PBE
State: relaxed

Properties
energy of formation from the pure elements = -0.290 eV/atom
E = -3.46 eV/atom

```
Nd5CdHg2
1.0
-6.919 -4.917 -2.185
2.358 -5.971 5.968
-1.225 8.433 2.484
Nd Cd Hg
10 2 4
Cartesian
-2.213 4.919 1.333
0.303 2.883 4.739
-3.574 -7.373 4.934
-2.701 -0.729 4.800
-0.570 -3.761 4.874
-3.086 -1.725 1.468
-2.281 -5.444 1.892
0.000 0.000 0.000
-5.217 1.307 1.393
-6.090 -5.337 1.528
-1.753 1.495 2.188
-4.034 -3.949 4.079
-0.457 -6.889 4.341
-0.133 -2.836 1.831
-4.429 -8.051 1.952
-4.105 -3.998 -0.558
```

***

Material: NdCd2Hg5
Method: DFT, PBE
State: relaxed

Properties
energy of formation from the pure elements = -0.128 eV/atom
E = -1.14 eV/atom
offset from the most stable computed form = 50 meV/atom

```
NdCd2Hg5
1.0
-7.332 -2.321 1.911
2.282 -1.018 7.520
0.913 7.853 -3.389
Hg Cd Nd
10 4 2
Cartesian
-5.517 2.594 3.256
-0.109 0.936 5.566
-1.383 3.546 3.844
-2.525 -1.670 4.715
0.000 0.000 0.000
1.380 1.920 2.785
-5.588 0.584 0.544
1.451 3.930 5.498
-2.754 0.969 2.198
-4.029 3.578 0.476
-0.275 -0.701 2.934
-0.640 -1.687 7.086
-4.410 -1.652 2.344
-4.775 -2.638 6.497
-0.806 3.092 0.663
-3.331 1.422 5.378
```

***

Material: Nd2Cd3Hg2
Method: DFT, PBE
State: relaxed

Properties
energy of formation from the pure elements = -0.285 eV/atom
E = -2.13 eV/atom

```
Nd2Cd3Hg2
1.0
-3.259 0.570 -3.285
4.818 -2.925 -1.979
-3.626 -5.711 2.607
Cd Hg Nd
3 2 2
Cartesian
1.381 -2.267 -1.763
-3.447 -5.800 -0.894
0.000 0.000 0.000
-0.404 -3.781 -3.563
-1.662 -4.286 0.906
0.073 -5.900 -1.096
-2.139 -2.167 -1.562
```

***

- What is the energy of formation from the pure elements in the eighth record?
  -0.129 eV/atom